Computed, not measured: a geometry-optimized Na2PuMgTe4 structure at the GGA-PBE level of DFT.

Properties
As for the formation energy from raw total energies: -0.876 eV per atom.

Cell lengths 4.4162, 7.5409, 7.9217 Å; angles 109.11, 90.00, 90.00 degrees
Each line ends with the local moment (μB).
Element x y z (fractional)
Na (0.5000, 0.0000, 0.5000)  0.00
Na (0.0000, 0.5000, 0.5000)  -0.01
Pu (0.0000, 0.0000, 0.0000)  4.90
Mg (0.5000, 0.5000, 0.0000)  0.00
Te (0.5000, 0.2449, 0.2312)  -0.15
Te (0.5000, 0.7551, 0.7688)  -0.15
Te (0.0000, 0.2652, 0.7798)  -0.14
Te (0.0000, 0.7348, 0.2202)  -0.14